[1]
Entry from Alexandria via LeMat-Bulk: an optimized crystal structure of LaP2Pt (PBE-GGA).

It has space group P4/mmm (No. 123), with a = 3.5014 Å, b = 3.5014 Å, c = 6.2732 Å, α = 90.00°, β = 90.00° and γ = 90.00°. Symmetry generates all atoms from La at (0.0000, 0.0000, 0.0000), P at (0.5000, 0.5000, 0.3264) and Pt at (0.0000, 0.0000, 0.5000).

The calculation puts the formation energy at -1.4 eV/f.u. The value obtained for the density of states at the Fermi level is 3.02 states/eV per cell. The total energy comes out at -5.7905 eV/atom. The total magnetic moment comes out at 0.0 μB/cell. The calculation puts the volume at 19.227 A^3/atom.

***

[2]
Entry from Alexandria via LeMat-Bulk: an optimized crystal structure of TaZn2Ru (PBE-GGA).

It has space group Pmmm (No. 47), with a = 2.8482 Å, b = 4.0307 Å, c = 5.2599 Å, α = 90.00°, β = 90.00° and γ = 90.00°. Symmetry generates all atoms from Ta at (0.0000, 0.0000, 0.0000), Zn at (0.5000, 0.5000, 0.2631) and Ru at (0.0000, 0.0000, 0.5000).

The calculation puts the formation energy at 0.1 eV/f.u. The value obtained for the density of states at the Fermi level is 2.81 states/eV per cell. The total energy comes out at -5.8954 eV/atom. The total magnetic moment comes out at 0.0 μB/cell. The calculation puts the volume at 15.096 A^3/atom.

***

[3]
Entry from Alexandria via LeMat-Bulk: an optimized crystal structure of CoRe2Ru (PBE-GGA).

It has space group R3m (No. 160, hexagonal axes), with a = 2.7128 Å, b = 2.7128 Å, c = 26.0489 Å, α = 90.00°, β = 90.00° and γ = 120.00°. Symmetry generates all atoms from Co at (0.0000, 0.0000, 0.0000), Re at (0.0000, 0.0000, 0.2543), Re at (0.0000, 0.0000, 0.4988) and Ru at (0.0000, 0.0000, 0.7474).

The calculation puts the formation energy at 0.6 eV/f.u. The value obtained for the density of states at the Fermi level is 11.11 states/eV per cell. The total energy comes out at -10.1799 eV/atom. The total magnetic moment comes out at 1.6 μB/cell. The calculation puts the volume at 13.835 A^3/atom.

***

[4]
Entry from Alexandria via LeMat-Bulk: an optimized crystal structure of Ta4AlFe (PBE-GGA).

It has space group P4/mcc (No. 124), with a = 6.2729 Å, b = 6.2729 Å, c = 5.1121 Å, α = 90.00°, β = 90.00° and γ = 90.00°. Symmetry generates all atoms from Ta at (0.1442, 0.3254, 0.0000), Al at (0.5000, 0.5000, 0.2500) and Fe at (0.0000, 0.0000, 0.2500).

The calculation puts the formation energy at -0.9 eV/f.u. The value obtained for the density of states at the Fermi level is 12.39 states/eV per cell. The total energy comes out at -10.0863 eV/atom. The total magnetic moment comes out at 0.0 μB/cell. The calculation puts the volume at 16.763 A^3/atom.

***

[5]
Entry from Alexandria via LeMat-Bulk: an optimized crystal structure of BeZn2Ir (PBE-GGA).

It has space group R-3m (No. 166, hexagonal axes), with a = 2.7523 Å, b = 2.7523 Å, c = 24.3390 Å, α = 90.00°, β = 90.00° and γ = 120.00°. Symmetry generates all atoms from Be at (0.0000, 0.0000, 0.0000), Zn at (0.0000, 0.0000, 0.2553) and Ir at (0.0000, 0.0000, 0.5000).

The calculation puts the formation energy at 0.5 eV/f.u. The value obtained for the density of states at the Fermi level is 9.75 states/eV per cell. The total energy comes out at -3.6669 eV/atom. The total magnetic moment comes out at 0.0 μB/cell. The calculation puts the volume at 13.306 A^3/atom.

***

[6]
Entry from Alexandria via LeMat-Bulk: an optimized crystal structure of ScOsCl2 (PBE-GGA).

It has space group I-4m2 (No. 119), with a = 3.6817 Å, b = 3.6817 Å, c = 10.0051 Å, α = 90.00°, β = 90.00° and γ = 90.00°. Symmetry generates all atoms from Sc at (0.0000, 0.0000, 0.0000), Os at (0.0000, 0.5000, 0.2500), Cl at (0.0000, 0.0000, 0.5000) and Cl at (0.0000, 0.5000, 0.7500).

The value obtained for the density of states at the Fermi level is 5.64 states/eV per cell. The total energy comes out at -5.1701 eV/atom. The total magnetic moment comes out at 0.0 μB/cell. The value obtained for the uncorrected formation energy is 0.144 eV per atom. The calculation puts the volume at 16.952 A^3/atom.

***

[7]
Entry from Alexandria via LeMat-Bulk: an optimized crystal structure of SrCaSm (PBE-GGA).

It has space group I4mm (No. 107), with a = 3.9195 Å, b = 3.9195 Å, c = 16.3407 Å, α = 90.00°, β = 90.00° and γ = 90.00°. Symmetry generates all atoms from Sr at (0.0000, 0.0000, 0.0000), Ca at (0.0000, 0.0000, 0.6835) and Sm at (0.0000, 0.0000, 0.3337).

The calculation puts the formation energy at 0.4 eV/f.u. The value obtained for the density of states at the Fermi level is 11.63 states/eV per cell. The total energy comes out at -2.6639 eV/atom. The total magnetic moment comes out at 0.1 μB/cell. The calculation puts the volume at 41.839 A^3/atom.

***

[8]
Entry from Alexandria via LeMat-Bulk: an optimized crystal structure of Ho2Ag2Au (PBE-GGA).

It has space group Cmmm (No. 65), with a = 4.1204 Å, b = 15.4307 Å, c = 3.5503 Å, α = 90.00°, β = 90.00° and γ = 90.00°. Symmetry generates all atoms from Ho at (0.0000, 0.1097, 0.0000), Ag at (0.0000, 0.3069, 0.5000) and Au at (0.0000, 0.5000, 0.5000).

The calculation puts the formation energy at -2.2 eV/f.u. The value obtained for the density of states at the Fermi level is 4.68 states/eV per cell. The total energy comes out at -4.0582 eV/atom. The total magnetic moment comes out at 0.0 μB/cell. The calculation puts the volume at 22.573 A^3/atom.

***

Number 1: density 8.5 g/cm3. Number 2: density 11.4 g/cm3. Number 3: density 16.0 g/cm3. Number 4: density 13.3 g/cm3. Number 5: density 10.4 g/cm3. Number 6: density 7.5 g/cm3. Number 7: density 3.7 g/cm3. Number 8: density 10.9 g/cm3.